1:
K2FeAg (PBE, optimized geometry); DOS(E_F) = 3.772 states/eV/f.u.
1.0
-3.8159 -2.3995 1.0299
2.6545 -2.8088 3.2911
0.0140 2.6103 6.1332
K Fe Ag
2 1 1
Direct
0.0000 0.9775 0.9202
0.5000 0.2693 0.3360
0.5000 0.5780 0.7204
0.0000 0.6751 0.5234



2:
K2FeAg (PBE, optimized geometry); DOS(E_F) = 2.834 states/eV/f.u.
1.0
9.2790 0.0000 0.0000
0.0000 9.2790 0.0000
4.6395 4.6395 3.0066
K Ag Fe
4 2 2
Direct
0.3750 0.3571 0.7500
0.1071 0.6250 0.2500
0.6429 0.1250 0.2500
0.8750 0.8929 0.7500
0.0000 0.0000 0.0000
0.7500 0.2500 0.5000
0.2500 0.7500 0.5000
0.5000 0.5000 0.0000



Which structure is the most stable? The one labeled 1.